# 1
BeSiMoW after structural relaxation, computed with GGA-PBE.

As for the energy above the most stable polymorph in this dataset: 33 meV/atom. The value obtained for the magnetic moment is 0.00 μB/atom. Its crystal system is cubic.

It has space group F-43m (No. 216), with a = 5.957 Å, b = 5.957 Å, c = 5.957 Å, α = 90.00°, β = 90.00° and γ = 90.00°. Symmetry generates all atoms from Be at (0.000, 0.000, 0.000), Si at (0.000, 0.000, 0.500), Mo at (0.250, 0.250, 0.250) and W at (0.250, 0.250, 0.750).


# 2
BeSnMo after structural relaxation, computed with GGA-PBE.

As for the energy above the most stable polymorph in this dataset: 0 meV/atom. The value obtained for the magnetic moment is 0.40 μB/atom. Its crystal system is cubic.

It has space group F-43m (No. 216), with a = 5.787 Å, b = 5.787 Å, c = 5.787 Å, α = 90.00°, β = 90.00° and γ = 90.00°. Symmetry generates all atoms from Be at (0.000, 0.000, 0.000), Sn at (0.250, 0.250, 0.250) and Mo at (0.250, 0.250, 0.750).


| no. | calculated volume (A^3/atom) |
| --- | --- |
| 1 | 13.21 |
| 2 | 16.15 |